A plane-wave DFT calculation with GGA-PBE was carried out for a relaxed RbGaBr4 crystal.

```
data_RbGaBr4
_cell_length_a 7.4453
_cell_length_b 11.8063
_cell_length_c 11.6720
_cell_angle_alpha 90.00
_cell_angle_beta 90.00
_cell_angle_gamma 90.00
_symmetry_space_group_name_H-M 'P 1'
_symmetry_Int_Tables_number 1
loop_
_symmetry_equiv_pos_as_xyz
'x,y,z'
loop_
_atom_site_label
_atom_site_fract_x
_atom_site_fract_y
_atom_site_fract_z
Rb1 0.2500 0.8303 0.1470
Rb2 0.7500 0.1697 0.8530
Rb3 0.7500 0.3303 0.3530
Rb4 0.2500 0.6697 0.6470
Ga1 0.2500 0.2001 0.0871
Ga2 0.7500 0.7999 0.9129
Ga3 0.7500 0.7001 0.4129
Ga4 0.2500 0.2999 0.5871
Br1 0.2500 0.4302 0.4326
Br2 0.7500 0.5698 0.5674
Br3 0.7500 0.9302 0.0674
Br4 0.2500 0.0698 0.9326
Br5 0.2500 0.1042 0.2634
Br6 0.7500 0.8958 0.7366
Br7 0.7500 0.6042 0.2366
Br8 0.2500 0.3958 0.7634
Br9 0.9944 0.3196 0.0745
Br10 0.0056 0.6804 0.9255
Br11 0.0056 0.8196 0.4255
Br12 0.4944 0.6804 0.9255
Br13 0.9944 0.1804 0.5745
Br14 0.5056 0.3196 0.0745
Br15 0.5056 0.1804 0.5745
Br16 0.4944 0.8196 0.4255
```

Computed properties:
- total magnetic moment (Bohr magnetons per cell) = 0.00
- V (Å³/cell) = 1026.0
- energy (eV per atom) = -2.9902
- SG = Pnma (62)